Run w
Rb2CdHgI6: relaxed, PBE.

```
Rb2CdHgI6
1.0
8.529 0.000 0.000
0.000 8.529 0.000
4.265 4.265 6.035
I Hg Rb Cd
6 1 2 1
direct
0.252 0.252 0.497 I
0.748 0.748 0.503 I
0.251 0.251 0.000 I
0.749 0.749 0.000 I
0.749 0.251 0.000 I
0.251 0.749 0.000 I
0.000 0.000 0.000 Hg
0.750 0.250 0.500 Rb
0.250 0.750 0.500 Rb
0.500 0.500 0.000 Cd
```

The calculated density comes out at 4.71 g cm⁻³.


Run x
Rb2CdHgI6: relaxed, PBE.

```
Rb2CdHgI6
1.0
8.532 0.003 -0.019
4.269 7.393 -0.011
4.268 2.467 8.843
Rb Cd Hg I
2 1 1 6
direct
0.534 0.532 0.402 Rb
0.035 0.035 0.895 Rb
0.768 0.768 0.695 Cd
0.264 0.263 0.210 Hg
0.614 0.184 0.223 I
0.184 0.980 0.223 I
0.980 0.614 0.222 I
0.478 0.697 0.715 I
0.696 0.109 0.716 I
0.110 0.478 0.713 I
```

The calculated density comes out at 3.70 g cm⁻³.


Quick one: most stable of them? run x


Run w
ZnCdHg2I: relaxed, PBE.

```
ZnCdHg2I
1.0
-3.418 -0.991 4.032
3.803 -2.844 2.524
1.801 4.813 2.710
I Zn Hg Cd
1 1 2 1
direct
0.000 0.000 0.500 I
0.000 0.000 0.000 Zn
0.000 0.500 0.000 Hg
0.500 0.000 0.000 Hg
0.500 0.500 0.500 Cd
```

The calculated density comes out at 6.98 g cm⁻³.


Run x
ZnCdHg2I: relaxed, PBE.

```
ZnCdHg2I
1.0
5.337 0.000 0.000
0.000 5.337 0.000
0.000 0.000 5.421
I Zn Hg Cd
1 1 2 1
direct
0.500 0.500 0.500 I
0.000 0.000 0.000 Zn
0.000 0.500 0.000 Hg
0.500 0.000 0.000 Hg
0.000 0.000 0.500 Cd
```

The calculated density comes out at 7.59 g cm⁻³.


Quick one: most stable of them? run x


Run w
Cd2In5Hg12: relaxed, PBE.

```
Cd2In5Hg12
1.0
5.102 0.076 1.254
0.494 9.540 7.476
-0.491 2.133 11.931
Cd In Hg
2 5 12
direct
0.000 0.247 0.753 Cd
0.000 0.753 0.247 Cd
0.319 0.183 0.183 In
0.699 0.302 0.302 In
0.500 0.000 0.000 In
0.301 0.698 0.698 In
0.681 0.817 0.817 In
0.103 0.898 0.898 Hg
0.206 0.532 0.061 Hg
0.206 0.061 0.532 Hg
0.581 0.630 0.200 Hg
0.581 0.200 0.630 Hg
0.095 0.406 0.406 Hg
0.905 0.594 0.594 Hg
0.419 0.370 0.800 Hg
0.419 0.800 0.370 Hg
0.794 0.468 0.939 Hg
0.794 0.939 0.468 Hg
0.897 0.102 0.102 Hg
```

The calculated density comes out at 10.52 g cm⁻³.


Run x
Cd2In5Hg12: relaxed, PBE.

```
Cd2In5Hg12
1.0
8.603 0.000 0.000
-4.301 7.802 1.463
0.000 -1.160 7.515
Cd In Hg
2 5 12
direct
0.690 0.000 0.000 Cd
0.310 0.000 0.000 Cd
0.234 0.468 0.513 In
0.321 0.643 0.083 In
0.000 0.000 0.500 In
0.679 0.357 0.917 In
0.766 0.532 0.487 In
0.078 0.155 0.118 Hg
0.064 0.607 0.786 Hg
0.543 0.607 0.786 Hg
0.152 0.791 0.347 Hg
0.639 0.791 0.347 Hg
0.444 0.888 0.667 Hg
0.556 0.112 0.333 Hg
0.848 0.209 0.653 Hg
0.361 0.209 0.653 Hg
0.936 0.393 0.214 Hg
0.457 0.393 0.214 Hg
0.922 0.845 0.882 Hg
```

The calculated density comes out at 10.26 g cm⁻³.


Quick one: most stable of them? run w


Run w
Cd2In2Hg3: relaxed, PBE.

```
Cd2In2Hg3
1.0
-6.186 2.102 4.199
-1.128 -7.122 -2.884
6.316 -0.007 4.520
Cd In Hg
4 4 6
direct
0.000 0.000 0.846 Cd
0.500 0.846 0.500 Cd
0.154 0.654 0.654 Cd
0.346 0.500 0.000 Cd
0.000 0.000 0.331 In
0.500 0.331 0.500 In
0.669 0.169 0.169 In
0.831 0.500 0.000 In
0.612 0.750 0.862 Hg
0.888 0.250 0.638 Hg
0.138 0.388 0.250 Hg
0.362 0.112 0.750 Hg
0.250 0.862 0.112 Hg
0.750 0.638 0.388 Hg
```

The calculated density comes out at 9.73 g cm⁻³.


Run x
Cd2In2Hg3: relaxed, PBE.

```
Cd2In2Hg3
1.0
-4.101 0.530 -1.395
-1.597 -5.406 2.642
1.146 5.279 5.461
Cd In Hg
2 2 3
direct
0.856 0.741 0.712 Cd
0.144 0.259 0.288 Cd
0.564 0.850 0.127 In
0.436 0.150 0.873 In
0.000 0.500 0.000 Hg
0.223 0.782 0.446 Hg
0.777 0.218 0.554 Hg
```

The calculated density comes out at 9.35 g cm⁻³.


Quick one: most stable of them? run w


Run w
CdIn2Hg6: relaxed, PBE.

```
CdIn2Hg6
1.0
6.083 -1.521 0.454
1.186 6.512 2.213
-0.193 1.650 6.253
Cd In Hg
1 2 6
direct
0.000 0.000 0.500 Cd
0.500 0.823 0.854 In
0.500 0.177 0.146 In
0.159 0.828 0.188 Hg
0.841 0.484 0.188 Hg
0.841 0.172 0.812 Hg
0.159 0.516 0.812 Hg
0.338 0.323 0.500 Hg
0.662 0.677 0.500 Hg
```

The calculated density comes out at 10.74 g cm⁻³.


Run x
CdIn2Hg6: relaxed, PBE.

```
CdIn2Hg6
1.0
3.499 0.000 0.000
1.749 7.051 0.315
1.749 1.799 10.068
Cd In Hg
1 2 6
direct
0.000 0.000 0.000 Cd
0.388 0.964 0.259 In
0.612 0.036 0.741 In
0.758 0.371 0.112 Hg
0.242 0.629 0.888 Hg
0.326 0.787 0.562 Hg
0.052 0.585 0.311 Hg
0.948 0.415 0.689 Hg
0.674 0.213 0.438 Hg
```

The calculated density comes out at 10.42 g cm⁻³.


Quick one: most stable of them? run w


Run w
Cd5InHg4: relaxed, PBE.

```
Cd5InHg4
1.0
-1.539 -0.502 3.464
4.742 -2.902 3.797
-0.217 10.027 3.468
Cd In Hg
5 1 4
direct
0.202 0.902 0.695 Cd
0.798 0.098 0.305 Cd
0.396 0.309 0.898 Cd
0.000 0.500 0.500 Cd
0.604 0.691 0.102 Cd
0.000 0.000 0.000 In
0.597 0.205 0.602 Hg
0.206 0.389 0.199 Hg
0.794 0.611 0.801 Hg
0.403 0.795 0.398 Hg
```

The calculated density comes out at 10.01 g cm⁻³.


Run x
Cd5InHg4: relaxed, PBE.

```
Cd5InHg4
1.0
-1.315 -5.905 1.660
6.701 0.177 5.940
-5.638 3.018 6.271
Cd In Hg
10 2 8
direct
0.302 0.820 0.679 Cd
0.302 0.180 0.679 Cd
0.386 0.500 0.000 Cd
0.302 0.820 0.321 Cd
0.302 0.180 0.321 Cd
0.698 0.680 0.179 Cd
0.698 0.320 0.179 Cd
0.614 0.000 0.500 Cd
0.698 0.320 0.821 Cd
0.698 0.680 0.821 Cd
0.501 0.000 0.000 In
0.499 0.500 0.500 In
0.892 0.000 0.774 Hg
0.110 0.774 0.000 Hg
0.110 0.226 0.000 Hg
0.892 0.000 0.226 Hg
0.108 0.500 0.274 Hg
0.890 0.726 0.500 Hg
0.890 0.274 0.500 Hg
0.108 0.500 0.726 Hg
```

The calculated density comes out at 9.76 g cm⁻³.


Quick one: most stable of them? run w


Run w
CdIn2Hg: relaxed, PBE.

```
CdIn2Hg
1.0
4.587 0.000 0.000
0.000 4.729 0.000
0.000 0.000 4.735
Cd Hg In
1 1 2
direct
0.500 0.000 0.500 Cd
0.000 0.500 0.500 Hg
0.000 0.000 0.000 In
0.500 0.500 0.000 In
```

The calculated density comes out at 8.77 g cm⁻³.


Run x
CdIn2Hg: relaxed, PBE.

```
CdIn2Hg
1.0
-2.459 -3.680 2.888
1.338 -5.088 -0.508
2.581 -2.456 3.904
Cd Hg In
1 1 2
direct
0.500 0.500 0.500 Cd
0.750 0.750 0.750 Hg
0.000 0.000 0.000 In
0.250 0.250 0.250 In
```

The calculated density comes out at 8.63 g cm⁻³.


Run y
CdIn2Hg: relaxed, PBE.

```
CdIn2Hg
1.0
10.811 -0.037 -0.021
10.308 3.262 -0.021
10.308 1.574 2.857
Cd Hg In
1 1 2
direct
0.250 0.250 0.250 Cd
0.750 0.750 0.750 Hg
0.999 0.999 0.999 In
0.501 0.501 0.501 In
```

The calculated density comes out at 8.78 g cm⁻³.


Run z
CdIn2Hg: relaxed, PBE.

```
CdIn2Hg
1.0
-4.587 0.693 3.966
-3.916 -2.845 3.718
2.764 0.231 4.178
Cd Hg In
1 1 2
direct
0.497 0.497 0.500 Cd
0.250 0.250 0.251 Hg
0.003 0.003 0.999 In
0.750 0.750 0.750 In
```

The calculated density comes out at 8.62 g cm⁻³.


Quick one: most stable of them? run y


Run w
CdIn2Hg: relaxed, PBE.

```
CdIn2Hg
1.0
5.041 0.000 0.000
0.000 3.513 0.024
0.000 1.011 5.936
Cd Hg In
1 1 2
direct
0.500 0.250 0.250 Cd
0.500 0.750 0.750 Hg
0.000 0.986 0.999 In
0.000 0.514 0.501 In
```

The calculated density comes out at 8.58 g cm⁻³.


Run x
CdIn2Hg: relaxed, PBE.

```
CdIn2Hg
1.0
4.323 0.000 0.000
2.161 3.744 0.000
2.161 1.248 7.000
Cd In Hg
1 2 1
direct
0.499 0.499 0.503 Cd
0.082 0.082 0.755 In
0.252 0.252 0.243 In
0.667 0.667 0.998 Hg
```

The calculated density comes out at 7.95 g cm⁻³.


Quick one: most stable of them? run w


Run w
Cd6InHg2: relaxed, PBE.

```
Cd6InHg2
1.0
-3.025 -1.184 2.734
3.716 -4.892 -1.304
4.320 4.040 6.528
Cd In Hg
6 1 2
direct
0.332 0.664 0.112 Cd
0.668 0.336 0.888 Cd
0.664 0.327 0.554 Cd
0.998 0.995 0.335 Cd
0.002 0.005 0.665 Cd
0.336 0.673 0.446 Cd
0.000 0.000 0.000 In
0.671 0.343 0.226 Hg
0.329 0.657 0.774 Hg
```

The calculated density comes out at 9.20 g cm⁻³.


Run x
Cd6InHg2: relaxed, PBE.

```
Cd6InHg2
1.0
-0.871 -4.574 -1.887
6.902 -0.268 -2.525
5.354 -2.756 4.221
Cd In Hg
6 1 2
direct
0.327 0.384 0.807 Cd
0.325 0.808 0.808 Cd
0.327 0.807 0.384 Cd
0.673 0.616 0.193 Cd
0.675 0.192 0.192 Cd
0.673 0.193 0.616 Cd
0.000 0.000 0.000 In
0.827 0.667 0.667 Hg
0.173 0.333 0.333 Hg
```

The calculated density comes out at 8.40 g cm⁻³.


Quick one: most stable of them? run w


Run w
Cd3InHg: relaxed, PBE.

```
Cd3InHg
1.0
-3.723 -4.212 0.042
3.876 -3.447 -2.168
1.650 -1.407 5.187
Cd Hg In
3 1 1
direct
0.000 0.500 0.000 Cd
0.000 0.000 0.500 Cd
0.500 0.000 0.000 Cd
0.500 0.500 0.500 Hg
0.000 0.000 0.000 In
```

The calculated density comes out at 6.10 g cm⁻³.


Run x
Cd3InHg: relaxed, PBE.

```
Cd3InHg
1.0
3.244 0.000 0.000
-1.622 2.810 0.000
0.000 0.000 26.253
Cd In Hg
6 2 2
direct
0.000 0.000 0.328 Cd
0.000 0.000 0.828 Cd
0.333 0.667 0.123 Cd
0.667 0.333 0.623 Cd
0.667 0.333 0.924 Cd
0.333 0.667 0.424 Cd
0.333 0.667 0.726 In
0.667 0.333 0.226 In
0.000 0.000 0.024 Hg
0.000 0.000 0.524 Hg
```

The calculated density comes out at 9.06 g cm⁻³.


Quick one: most stable of them? run x